Entry 1:
! Fe2CoCl, optimized geometry, DFT PBE; values from VASP
&SYSTEM
  ibrav = 0, nat = 4, ntyp = 3
/
ATOMIC_SPECIES
Co 58.93 Co.upf
Fe 55.84 Fe.upf
Cl 35.45 Cl.upf
ATOMIC_POSITIONS crystal
Co 0.500 0.500 0.765
Fe 0.000 0.000 0.997
Fe 0.500 0.500 0.247
Cl 0.000 0.000 0.491
CELL_PARAMETERS angstrom
2.802 0.001 0.000
-1.160 2.550 0.000
0.000 0.000 7.732
! * crystal system: orthorhombic
! * calculated volume: 55 Å³/f.u.
! * calculated density: 6.192 g/cm3
! * E_tot: -6.1292 eV/atom

=====

Entry 2:
! FeCoCl, optimized geometry, DFT PBE; values from VASP
&SYSTEM
  ibrav = 0, nat = 3, ntyp = 3
/
ATOMIC_SPECIES
Co 58.93 Co.upf
Fe 55.84 Fe.upf
Cl 35.45 Cl.upf
ATOMIC_POSITIONS crystal
Co 0.320 0.320 0.680
Fe 0.677 0.677 0.323
Cl 0.003 0.003 0.997
CELL_PARAMETERS angstrom
-5.214 3.218 -0.581
-4.756 1.544 -3.006
-2.062 -1.020 1.898
! * crystal system: orthorhombic
! * calculated volume: 45 Å³/f.u.
! * calculated density: 5.538 g/cm3
! * E_tot: -5.5140 eV/atom

=====

Number 1: relative energy among the computed polymorphs 0.2017 eV/atom, formation energy from raw total energies 0.340 eV per atom. Number 2: relative energy among the computed polymorphs 0.1119 eV/atom, formation energy from raw total energies 0.291 eV per atom.